The following is a DFT calculation (SCAN) of a PBEsol-optimized structure of ZrTe.

Properties
V = 23.7 Å³ per atom
ΔE_f (raw) = -0.969 eV per atom
D(E_F) = 2.6 states/eV/cell
total moment = 0.0 μB per cell
electronic total energy = -34.944 eV/atom

a b c (Å): 3.7319 6.9379 7.3323
angles (deg): 90.00 90.00 90.00
Element x y z (fractional)
Zr  0.7500  0.1896  0.5086
Zr  0.7500  0.3104  0.0086
Zr  0.2500  0.6896  0.9914
Zr  0.2500  0.8104  0.4914
Te  0.2500  0.0714  0.7925
Te  0.2500  0.4286  0.2925
Te  0.7500  0.9286  0.2075
Te  0.7500  0.5714  0.7075

The following is a DFT calculation (SCAN) of a PBEsol-optimized structure of BPI2O.

Properties
V = 19.1 Å³ per atom
ΔE_f (raw) = 0.391 eV per atom
D(E_F) = 2.4 states/eV/cell
total moment = 0.0 μB per cell
electronic total energy = -19.117 eV/atom

a b c (Å): 2.8284 5.8139 5.8139
angles (deg): 90.00 90.00 90.00
Element x y z (fractional)
I  0.0000  0.5000  0.0000
I  0.0000  0.0000  0.5000
B  0.0000  0.0000  0.0000
P  0.5000  0.5000  0.5000
O  0.5000  0.0000  0.0000

The following is a DFT calculation (SCAN) of a PBEsol-optimized structure of Cu2RuBr.

Properties
V = 14.1 Å³ per atom
ΔE_f (raw) = 0.778 eV per atom
D(E_F) = 4.0 states/eV/cell
total moment = 0.0 μB per cell
electronic total energy = -20.393 eV/atom

a b c (Å): 2.7933 4.7317 4.7317
angles (deg): 115.32 90.00 90.00
Element x y z (fractional)
Cu  0.0000  0.0000  0.5000
Cu  0.0000  0.5000  0.0000
Ru  0.5000  0.0000  0.0000
Br  0.5000  0.5000  0.5000

The following is a DFT calculation (SCAN) of a PBEsol-optimized structure of AlSbPI2.

Properties
V = 30.8 Å³ per atom
ΔE_f (raw) = 0.701 eV per atom
D(E_F) = 1.6 states/eV/cell
total moment = 1.2 μB per cell
electronic total energy = -25.078 eV/atom

a b c (Å): 5.2614 5.2614 5.5623
angles (deg): 90.00 90.00 90.00
Last column: magnetic moment on the atom in μB.
Element x y z (fractional)
I  0.0000  0.5000  0.0000  0.02
I  0.5000  0.0000  0.0000  0.02
Sb  0.0000  0.0000  0.5000  -0.37
Al  0.0000  0.0000  0.0000  0.01
P  0.5000  0.5000  0.5000  0.91

The following is a DFT calculation (SCAN) of a PBEsol-optimized structure of BaNiF2.

Properties
V = 18.4 Å³ per atom
ΔE_f (raw) = -1.458 eV per atom
D(E_F) = 3.1 states/eV/cell
total moment = 1.3 μB per cell
electronic total energy = -17.159 eV/atom

a b c (Å): 3.6789 3.6789 6.6261
angles (deg): 73.88 73.88 60.00
Last column: magnetic moment on the atom in μB.
Element x y z (fractional)
F  0.8688  0.8688  0.3936  0.05
F  0.1312  0.1312  0.6064  0.05
Ba  0.0000  0.0000  0.0000  0.00
Ni  0.5000  0.5000  0.5000  1.25

The following is a DFT calculation (SCAN) of a PBEsol-optimized structure of BaMn2.

Properties
V = 21.9 Å³ per atom
D(E_F) = 8.1 states/eV/cell
total moment = 14.5 μB per cell
electronic total energy = -24.849 eV/atom

a b c (Å): 5.7093 5.7093 5.7093
angles (deg): 60.00 60.00 60.00
Last column: magnetic moment on the atom in μB.
Element x y z (fractional)
Mn  0.6250  0.1250  0.1250  3.79
Mn  0.1250  0.6250  0.1250  3.79
Mn  0.1250  0.1250  0.6250  3.79
Mn  0.1250  0.1250  0.1250  3.79
Ba  0.7500  0.7500  0.7500  -0.27
Ba  0.5000  0.5000  0.5000  -0.27

The following is a DFT calculation (SCAN) of a PBEsol-optimized structure of ScSiTc.

Properties
V = 15.5 Å³ per atom
ΔE_f (raw) = -0.660 eV per atom
D(E_F) = 0.5 states/eV/cell
total moment = 0.0 μB per cell
electronic total energy = -20.431 eV/atom

a b c (Å): 3.1950 3.1950 5.0921
angles (deg): 108.28 108.28 90.00
Element x y z (fractional)
Tc  0.3087  0.3087  0.6174
Si  0.6927  0.6927  0.3853
Sc  0.9986  0.9986  0.9973

The following is a DFT calculation (SCAN) of a PBEsol-optimized structure of BaScAs2.

Properties
V = 23.0 Å³ per atom
D(E_F) = 3.3 states/eV/cell
total moment = 0.0 μB per cell
electronic total energy = -23.688 eV/atom

a b c (Å): 5.0636 5.0636 5.0636
angles (deg): 60.00 60.00 60.00
Element x y z (fractional)
Sc  0.2500  0.2500  0.2500
As  0.0000  0.0000  0.0000
As  0.7500  0.7500  0.7500
Ba  0.5000  0.5000  0.5000

The following is a DFT calculation (SCAN) of a PBEsol-optimized structure of Na5Cr3F14.

Properties
V = 12.3 Å³ per atom
ΔE_f (raw) = -3.100 eV per atom
D(E_F) = 0.0 states/eV/cell
total moment = 18.0 μB per cell
electronic total energy = -8.817 eV/atom

a b c (Å): 7.1555 7.2149 10.4714
angles (deg): 89.49 90.00 90.00
Last column: magnetic moment on the atom in μB.
Element x y z (fractional)
F  0.2062  0.4591  0.8895  0.02
F  0.9530  0.9815  0.8234  0.02
F  0.5652  0.1750  0.8710  0.02
F  0.0868  0.7514  0.0023  0.02
F  0.1643  0.4618  0.1397  0.02
F  0.7481  0.4278  0.5454  0.02
F  0.4530  0.5185  0.6766  0.02
F  0.7062  0.0409  0.6105  0.02
F  0.3357  0.9618  0.6397  0.02
F  0.8357  0.5382  0.8603  0.02
F  0.2938  0.9591  0.3895  0.02
F  0.7938  0.5409  0.1105  0.02
F  0.9915  0.7009  0.6163  0.02
F  0.5085  0.2009  0.1163  0.02
F  0.6643  0.0382  0.3603  0.02
F  0.0085  0.2991  0.3837  0.02
F  0.5868  0.7486  0.4977  0.02
F  0.9132  0.2486  0.9977  0.02
F  0.9348  0.6750  0.3710  0.02
F  0.0470  0.0185  0.1766  0.02
F  0.7519  0.9278  0.0454  0.02
F  0.4132  0.2514  0.5023  0.02
F  0.0652  0.3250  0.6290  0.02
F  0.2481  0.0722  0.9546  0.02
F  0.4348  0.8250  0.1290  0.02
F  0.5470  0.4815  0.3234  0.02
F  0.4915  0.7991  0.8837  0.02
F  0.2519  0.5722  0.4546  0.02
Na  0.0000  0.0000  0.5000  0.00
Na  0.3077  0.2383  0.7490  0.00
Na  0.1923  0.7383  0.2490  0.00
Na  0.7290  0.7752  0.7379  0.00
Na  0.8077  0.2617  0.7510  0.00
Na  0.6923  0.7617  0.2510  0.00
Na  0.5000  0.5000  0.0000  0.00
Na  0.7710  0.2752  0.2379  0.00
Na  0.2710  0.2248  0.2621  0.00
Na  0.2290  0.7248  0.7621  0.00
Cr  0.5000  0.0000  0.5000  2.82
Cr  0.0000  0.5000  0.5000  2.83
Cr  0.0000  0.5000  0.0000  2.82
Cr  0.5000  0.0000  0.0000  2.83
Cr  0.0000  0.0000  0.0000  2.84
Cr  0.5000  0.5000  0.5000  2.84

The following is a DFT calculation (SCAN) of a PBEsol-optimized structure of Na2Ho2B2TeO10.

Properties
V = 11.9 Å³ per atom
ΔE_f (raw) = -2.687 eV per atom
D(E_F) = 0.0 states/eV/cell
total moment = 0.0 μB per cell
electronic total energy = -15.677 eV/atom

a b c (Å): 6.2934 6.6981 9.8855
angles (deg): 90.00 90.00 103.71
Element x y z (fractional)
B  0.6626  0.6281  0.4015
B  0.3374  0.3719  0.5985
B  0.3374  0.8719  0.9015
B  0.6626  0.1281  0.0985
Na  0.5854  0.6698  0.1123
Na  0.4146  0.8302  0.6123
Na  0.5854  0.1698  0.3877
Na  0.4146  0.3302  0.8877
O  0.8391  0.1369  0.6184
O  0.2930  0.1614  0.5612
O  0.2930  0.6614  0.9388
O  0.9925  0.6787  0.1514
O  0.8039  0.0102  0.0604
O  0.8039  0.5102  0.4396
O  0.5217  0.4471  0.6706
O  0.4783  0.5529  0.3294
O  0.4783  0.0529  0.1706
O  0.9925  0.1787  0.3486
O  0.0075  0.8213  0.6514
O  0.5217  0.9471  0.8294
O  0.1961  0.4898  0.5604
O  0.7070  0.3386  0.0612
O  0.0075  0.3213  0.8486
O  0.1609  0.8631  0.3816
O  0.7070  0.8386  0.4388
O  0.1609  0.3631  0.1184
O  0.8391  0.6369  0.8816
O  0.1961  0.9898  0.9396
Ho  0.8741  0.9773  0.8333
Ho  0.1259  0.5227  0.3333
Ho  0.8741  0.4773  0.6667
Ho  0.1259  0.0227  0.1667
Te  0.0000  0.5000  0.0000
Te  0.0000  0.0000  0.5000

The following is a DFT calculation (SCAN) of a PBEsol-optimized structure of Zn5Ru4.

Properties
V = 13.2 Å³ per atom
D(E_F) = 4.9 states/eV/cell
total moment = 0.0 μB per cell
electronic total energy = -23.006 eV/atom

a b c (Å): 3.9175 5.8538 5.8538
angles (deg): 83.57 70.45 70.45
Element x y z (fractional)
Ru  0.6642  0.3358  0.3358
Ru  0.3358  0.6642  0.6642
Ru  0.0000  0.3358  0.6642
Ru  0.0000  0.6642  0.3358
Zn  0.3323  0.0000  0.3355
Zn  0.6677  0.6645  0.0000
Zn  0.3323  0.3355  0.0000
Zn  0.6677  0.0000  0.6645
Zn  0.0000  0.0000  0.0000

The following is a DFT calculation (SCAN) of a PBEsol-optimized structure of BaYRu3.

Properties
V = 23.2 Å³ per atom
D(E_F) = 4.6 states/eV/cell
total moment = 2.3 μB per cell
electronic total energy = -32.449 eV/atom

a b c (Å): 4.8762 4.8762 4.8762
angles (deg): 90.00 90.00 90.00
Last column: magnetic moment on the atom in μB.
Element x y z (fractional)
Ru  0.5000  0.0000  0.0000  0.84
Ru  0.0000  0.5000  0.0000  0.84
Ru  0.0000  0.0000  0.5000  0.84
Ba  0.0000  0.0000  0.0000  0.00
Y  0.5000  0.5000  0.5000  -0.12

The following is a DFT calculation (SCAN) of a PBEsol-optimized structure of SrZrTa4.

Properties
V = 21.1 Å³ per atom
D(E_F) = 12.3 states/eV/cell
total moment = 0.0 μB per cell
electronic total energy = -52.635 eV/atom

a b c (Å): 5.6368 5.6368 5.6368
angles (deg): 60.00 60.00 60.00
Element x y z (fractional)
Ta  0.8750  0.3750  0.3750
Ta  0.3750  0.8750  0.3750
Ta  0.3750  0.3750  0.3750
Ta  0.3750  0.3750  0.8750
Sr  0.0000  0.0000  0.0000
Zr  0.7500  0.7500  0.7500

The following is a DFT calculation (SCAN) of a PBEsol-optimized structure of SrTcSe4.

Properties
V = 22.4 Å³ per atom
ΔE_f (raw) = 0.411 eV per atom
D(E_F) = 5.7 states/eV/cell
total moment = 5.0 μB per cell
electronic total energy = -22.530 eV/atom

a b c (Å): 5.7481 5.7481 5.7481
angles (deg): 60.00 60.00 60.00
Last column: magnetic moment on the atom in μB.
Element x y z (fractional)
Se  0.3741  0.8776  0.3741  0.08
Se  0.3741  0.3741  0.8776  0.08
Se  0.8776  0.3741  0.3741  0.08
Se  0.3741  0.3741  0.3741  0.08
Sr  0.7500  0.7500  0.7500  0.04
Tc  0.0000  0.0000  0.0000  3.89

The following is a DFT calculation (SCAN) of a PBEsol-optimized structure of NaTlAs2Br.

Properties
V = 28.8 Å³ per atom
ΔE_f (raw) = 0.409 eV per atom
D(E_F) = 2.3 states/eV/cell
total moment = 2.3 μB per cell
electronic total energy = -26.873 eV/atom

a b c (Å): 5.1304 5.1304 5.4614
angles (deg): 90.00 90.00 90.00
Last column: magnetic moment on the atom in μB.
Element x y z (fractional)
Tl  0.5000  0.5000  0.5000  0.04
Na  0.0000  0.0000  0.0000  0.01
As  0.0000  0.5000  0.0000  0.46
As  0.5000  0.0000  0.0000  0.46
Br  0.0000  0.0000  0.5000  0.20

The following is a DFT calculation (SCAN) of a PBEsol-optimized structure of RbNbP2Cl.

Properties
V = 24.1 Å³ per atom
ΔE_f (raw) = -0.629 eV per atom
D(E_F) = 1.9 states/eV/cell
total moment = 0.0 μB per cell
electronic total energy = -17.158 eV/atom

a b c (Å): 4.7983 4.7983 5.2368
angles (deg): 90.00 90.00 90.00
Element x y z (fractional)
P  0.5000  0.0000  0.0000
P  0.0000  0.5000  0.0000
Nb  0.0000  0.0000  0.0000
Rb  0.5000  0.5000  0.5000
Cl  0.0000  0.0000  0.5000

The following is a DFT calculation (SCAN) of a PBEsol-optimized structure of Np2SO9.

Properties
V = 14.5 Å³ per atom
ΔE_f (raw) = -2.356 eV per atom
D(E_F) = 17.5 states/eV/cell
total moment = 8.0 μB per cell
electronic total energy = -25.666 eV/atom

a b c (Å): 6.4719 6.8382 15.6855
angles (deg): 90.00 90.00 90.00
Last column: magnetic moment on the atom in μB.
Element x y z (fractional)
O  0.4276  0.2500  0.5024  -0.07
O  0.2952  0.5790  0.9198  -0.01
O  0.0053  0.7500  0.5275  0.00
O  0.9468  0.4733  0.8514  -0.05
O  0.1106  0.2500  0.6204  0.00
O  0.7952  0.0790  0.5802  -0.01
O  0.2048  0.9210  0.4198  -0.01
O  0.7048  0.4210  0.0802  -0.01
O  0.0724  0.2500  0.0024  -0.07
O  0.5053  0.2500  0.9725  0.00
O  0.9276  0.7500  0.9976  -0.07
O  0.2064  0.2500  0.2873  -0.08
O  0.2936  0.2500  0.7873  -0.08
O  0.4468  0.5267  0.6486  -0.05
O  0.0532  0.5267  0.1486  -0.05
O  0.5532  0.4733  0.3514  -0.05
O  0.7936  0.7500  0.7127  -0.08
O  0.3894  0.2500  0.1204  0.00
O  0.7952  0.4210  0.5802  -0.01
O  0.6771  0.2500  0.7324  -0.08
O  0.1771  0.7500  0.7676  -0.08
O  0.7064  0.7500  0.2127  -0.08
O  0.4468  0.9733  0.6486  -0.05
O  0.0532  0.9733  0.1486  -0.05
O  0.5532  0.0267  0.3514  -0.05
O  0.9468  0.0267  0.8514  -0.05
O  0.5724  0.7500  0.4976  -0.07
O  0.2952  0.9210  0.9198  -0.01
O  0.6106  0.7500  0.8796  0.00
O  0.8229  0.2500  0.2324  -0.08
O  0.9947  0.2500  0.4725  0.00
O  0.2048  0.5790  0.4198  -0.01
O  0.3229  0.7500  0.2676  -0.08
O  0.7048  0.0790  0.0802  -0.01
O  0.8894  0.7500  0.3796  0.00
O  0.4947  0.7500  0.0275  0.00
Np  0.3143  0.2500  0.3949  1.87
Np  0.5312  0.7500  0.3463  0.43
Np  0.8143  0.7500  0.1051  1.87
Np  0.4688  0.2500  0.6537  0.43
Np  0.1857  0.2500  0.8949  1.87
Np  0.6857  0.7500  0.6051  1.87
Np  0.9688  0.7500  0.8463  0.43
Np  0.0312  0.2500  0.1537  0.43
S  0.0681  0.7500  0.4375  0.00
S  0.9319  0.2500  0.5625  0.00
S  0.5681  0.2500  0.0625  0.00
S  0.4319  0.7500  0.9375  0.00

The following is a DFT calculation (SCAN) of a PBEsol-optimized structure of AlGePtI2.

Properties
V = 28.4 Å³ per atom
ΔE_f (raw) = 0.403 eV per atom
D(E_F) = 3.5 states/eV/cell
total moment = 0.0 μB per cell
electronic total energy = -33.701 eV/atom

a b c (Å): 4.6887 5.5021 5.5021
angles (deg): 90.00 90.00 90.00
Element x y z (fractional)
I  0.0000  0.0000  0.5000
I  0.0000  0.5000  0.0000
Pt  0.0000  0.0000  0.0000
Ge  0.5000  0.5000  0.5000
Al  0.5000  0.0000  0.0000

The following is a DFT calculation (SCAN) of a PBEsol-optimized structure of BaY2Te.

Properties
V = 33.7 Å³ per atom
ΔE_f (raw) = -0.560 eV per atom
D(E_F) = 3.5 states/eV/cell
total moment = 0.0 μB per cell
electronic total energy = -33.682 eV/atom

a b c (Å): 4.0778 5.1780 6.7104
angles (deg): 90.00 107.69 90.00
Element x y z (fractional)
Te  0.3096  0.5000  0.6192
Ba  0.9059  0.0000  0.8117
Y  0.1820  0.0000  0.3641
Y  0.6112  0.5000  0.2223

The following is a DFT calculation (SCAN) of a PBEsol-optimized structure of SrPb2Au.

Properties
V = 29.1 Å³ per atom
D(E_F) = 1.5 states/eV/cell
total moment = 0.0 μB per cell
electronic total energy = -61.257 eV/atom

a b c (Å): 4.6225 4.0931 6.5509
angles (deg): 90.00 110.30 90.00
Element x y z (fractional)
Pb  0.2007  0.0000  0.0267
Pb  0.7898  0.5000  0.2056
Sr  0.4787  0.0000  0.5808
Au  0.0308  0.5000  0.6869

The following is a DFT calculation (SCAN) of a PBEsol-optimized structure of ZrIn3Au.

Properties
V = 26.7 Å³ per atom
D(E_F) = 3.1 states/eV/cell
total moment = 0.0 μB per cell
electronic total energy = -39.519 eV/atom

a b c (Å): 5.1116 5.1116 5.1116
angles (deg): 90.00 90.00 90.00
Element x y z (fractional)
In  0.5000  0.0000  0.0000
In  0.0000  0.5000  0.0000
In  0.0000  0.0000  0.5000
Au  0.0000  0.0000  0.0000
Zr  0.5000  0.5000  0.5000

The following is a DFT calculation (SCAN) of a PBEsol-optimized structure of Li3Rh.

Properties
V = 15.0 Å³ per atom
D(E_F) = 2.3 states/eV/cell
total moment = 0.2 μB per cell
electronic total energy = -10.305 eV/atom

a b c (Å): 2.6617 2.6617 9.3496
angles (deg): 90.00 90.00 115.39
Last column: magnetic moment on the atom in μB.
Element x y z (fractional)
Li  0.0000  0.0000  0.7183  0.00
Li  0.0000  0.0000  0.2817  0.00
Li  0.5000  0.5000  0.0000  -0.01
Rh  0.5000  0.5000  0.5000  0.25